Entry 1:
{
  "formula": "Hf2TaGa6",
  "functional": "PBE",
  "state": "relaxed",
  "density_g_cm3": 9.77,
  "magnetic_moment_mub_per_atom": 0.000,
  "dos_ef_per_ev_cell": 2.56,
  "ef_mev_per_atom": -224,
  "sg": "C2/m, No. 12",
  "cell": [[5.2798, -2.7085, 0.0000], [5.2798, 2.7085, 0.0000], [-0.9907, 0.0000, 5.6802]],
  "species": ["Hf", "Hf", "Ta", "Ga", "Ga", "Ga", "Ga", "Ga", "Ga"],
  "fractional_positions": [[0.1338, 0.1338, 0.3573], [0.8662, 0.8662, 0.6427], [0.5000, 0.5000, 0.5000], [0.1151, 0.6452, 0.1493], [0.3287, 0.3287, 0.7677], [0.3548, 0.8849, 0.8507], [0.6452, 0.1151, 0.1493], [0.6713, 0.6713, 0.2323], [0.8849, 0.3548, 0.8507]]
}


Entry 2:
{
  "formula": "HfTa5Ga6",
  "functional": "PBE",
  "state": "relaxed",
  "density_g_cm3": 11.99,
  "magnetic_moment_mub_per_atom": 0.000,
  "dos_ef_per_ev_cell": 5.35,
  "ef_mev_per_atom": -31,
  "sg": "C2/m, No. 12",
  "cell": [[2.5644, -7.0965, 0.0000], [2.5644, 7.0965, 0.0000], [-1.1347, 0.0000, 5.7146]],
  "species": ["Hf", "Ta", "Ta", "Ta", "Ta", "Ta", "Ga", "Ga", "Ga", "Ga", "Ga", "Ga"],
  "fractional_positions": [[0.0000, 0.0000, 0.0000], [0.0000, 0.0000, 0.5000], [0.3320, 0.6680, 0.0000], [0.3364, 0.6636, 0.5000], [0.6636, 0.3364, 0.5000], [0.6680, 0.3320, 0.0000], [0.1649, 0.8276, 0.2582], [0.1724, 0.8351, 0.7418], [0.4936, 0.4936, 0.7513], [0.5064, 0.5064, 0.2487], [0.8276, 0.1649, 0.2582], [0.8351, 0.1724, 0.7418]]
}


Entry 3:
{
  "formula": "Hf2Ta2Ga",
  "functional": "PBE",
  "state": "relaxed",
  "density_g_cm3": 12.93,
  "magnetic_moment_mub_per_atom": 0.000,
  "dos_ef_per_ev_cell": 11.93,
  "ef_mev_per_atom": 110,
  "sg": "P4/mbm, No. 127",
  "cell": [[7.0349, 0.0000, 0.0000], [0.0000, 7.0349, 0.0000], [0.0000, 0.0000, 4.0924]],
  "species": ["Hf", "Hf", "Hf", "Hf", "Ta", "Ta", "Ta", "Ta", "Ga", "Ga"],
  "fractional_positions": [[0.1684, 0.3316, 0.0000], [0.3316, 0.8316, 0.0000], [0.6684, 0.1684, 0.0000], [0.8316, 0.6684, 0.0000], [0.1340, 0.6340, 0.5000], [0.3660, 0.1340, 0.5000], [0.6340, 0.8660, 0.5000], [0.8660, 0.3660, 0.5000], [0.0000, 0.0000, 0.5000], [0.5000, 0.5000, 0.5000]]
}


Entry 4:
{
  "formula": "HfTa2Ga",
  "functional": "PBE",
  "state": "relaxed",
  "density_g_cm3": 13.44,
  "magnetic_moment_mub_per_atom": 0.000,
  "dos_ef_per_ev_cell": 12.85,
  "ef_mev_per_atom": -34,
  "sg": "Cmcm, No. 63",
  "cell": [[3.1112, 0.0000, 0.0000], [0.0000, 20.9979, 0.0000], [0.0000, 0.0000, 4.6170]],
  "species": ["Hf", "Hf", "Hf", "Hf", "Ta", "Ta", "Ta", "Ta", "Ta", "Ta", "Ta", "Ta", "Ga", "Ga", "Ga", "Ga"],
  "fractional_positions": [[0.0000, 0.1071, 0.2500], [0.0000, 0.8929, 0.7500], [0.5000, 0.3929, 0.7500], [0.5000, 0.6071, 0.2500], [0.0000, 0.2623, 0.7500], [0.0000, 0.4754, 0.2500], [0.0000, 0.5246, 0.7500], [0.0000, 0.7377, 0.2500], [0.5000, 0.0246, 0.7500], [0.5000, 0.2377, 0.2500], [0.5000, 0.7623, 0.7500], [0.5000, 0.9754, 0.2500], [0.0000, 0.3455, 0.2500], [0.0000, 0.6545, 0.7500], [0.5000, 0.1545, 0.7500], [0.5000, 0.8455, 0.2500]]
}


Entry 5:
{
  "formula": "Hf2TaGa3",
  "functional": "PBE",
  "state": "relaxed",
  "density_g_cm3": 10.90,
  "magnetic_moment_mub_per_atom": 0.000,
  "dos_ef_per_ev_cell": 5.83,
  "ef_mev_per_atom": -115,
  "sg": "C2/c, No. 15",
  "cell": [[7.1244, -2.6930, 0.0000], [7.1244, 2.6930, 0.0000], [-1.2908, 0.0000, 5.9347]],
  "species": ["Hf", "Hf", "Hf", "Hf", "Ta", "Ta", "Ga", "Ga", "Ga", "Ga", "Ga", "Ga"],
  "fractional_positions": [[0.1653, 0.1689, 0.0833], [0.1689, 0.1653, 0.5833], [0.8311, 0.8347, 0.4167], [0.8347, 0.8311, 0.9167], [0.4994, 0.5006, 0.2500], [0.5006, 0.4994, 0.7500], [0.0006, 0.9994, 0.7500], [0.3345, 0.3383, 0.4185], [0.3383, 0.3345, 0.9185], [0.6617, 0.6655, 0.0815], [0.6655, 0.6617, 0.5815], [0.9994, 0.0006, 0.2500]]
}


Entry 6:
{
  "formula": "Hf2TaGa4",
  "functional": "PBE",
  "state": "relaxed",
  "density_g_cm3": 10.81,
  "magnetic_moment_mub_per_atom": 0.000,
  "dos_ef_per_ev_cell": 5.59,
  "ef_mev_per_atom": -208,
  "sg": "I4mm, No. 107",
  "cell": [[6.5367, 0.0000, 0.0000], [0.0000, 6.5367, 0.0000], [0.0000, 0.0000, 5.8751]],
  "species": ["Hf", "Hf", "Hf", "Hf", "Ta", "Ta", "Ga", "Ga", "Ga", "Ga", "Ga", "Ga", "Ga", "Ga"],
  "fractional_positions": [[0.0000, 0.5000, 0.0000], [0.0000, 0.5000, 0.5000], [0.5000, 0.0000, 0.0000], [0.5000, 0.0000, 0.5000], [0.0000, 0.0000, 0.2479], [0.5000, 0.5000, 0.7479], [0.1972, 0.1972, 0.7505], [0.1972, 0.8028, 0.7505], [0.3028, 0.3028, 0.2505], [0.3028, 0.6972, 0.2505], [0.6972, 0.3028, 0.2505], [0.6972, 0.6972, 0.2505], [0.8028, 0.1972, 0.7505], [0.8028, 0.8028, 0.7505]]
}


Entry 7:
{
  "formula": "Hf6TaGa5",
  "functional": "PBE",
  "state": "relaxed",
  "density_g_cm3": 11.35,
  "magnetic_moment_mub_per_atom": 0.000,
  "dos_ef_per_ev_cell": 8.25,
  "ef_mev_per_atom": -226,
  "sg": "C2/m, No. 12",
  "cell": [[4.4728, -4.9044, 0.0000], [4.4728, 4.9044, 0.0000], [-1.2561, 0.0000, 5.3350]],
  "species": ["Hf", "Hf", "Hf", "Hf", "Hf", "Hf", "Ta", "Ga", "Ga", "Ga", "Ga", "Ga"],
  "fractional_positions": [[0.0591, 0.4057, 0.7329], [0.2186, 0.2186, 0.2206], [0.4057, 0.0591, 0.7329], [0.5943, 0.9409, 0.2671], [0.7814, 0.7814, 0.7794], [0.9409, 0.5943, 0.2671], [0.5000, 0.5000, 0.0000], [0.0000, 0.0000, 0.5000], [0.2058, 0.7942, 0.0000], [0.3669, 0.6331, 0.5000], [0.6331, 0.3669, 0.5000], [0.7942, 0.2058, 0.0000]]
}


Entry 8:
{
  "formula": "Hf2TaGa",
  "functional": "PBE",
  "state": "relaxed",
  "density_g_cm3": 12.55,
  "magnetic_moment_mub_per_atom": 0.000,
  "dos_ef_per_ev_cell": 11.46,
  "ef_mev_per_atom": -51,
  "sg": "R-3m, No. 166",
  "cell": [[3.1440, 0.0000, 0.0000], [-1.5720, 2.7228, 0.0000], [0.0000, 0.0000, 28.1864]],
  "species": ["Hf", "Hf", "Hf", "Hf", "Hf", "Hf", "Ta", "Ta", "Ta", "Ga", "Ga", "Ga"],
  "fractional_positions": [[0.0000, 0.0000, 0.2487], [0.0000, 0.0000, 0.7513], [0.3333, 0.6667, 0.4180], [0.3333, 0.6667, 0.9153], [0.6667, 0.3333, 0.0847], [0.6667, 0.3333, 0.5820], [0.0000, 0.0000, 0.0000], [0.3333, 0.6667, 0.6667], [0.6667, 0.3333, 0.3333], [0.0000, 0.0000, 0.5000], [0.3333, 0.6667, 0.1667], [0.6667, 0.3333, 0.8333]]
}


Entry 9:
{
  "formula": "Hf2TaGaW",
  "functional": "PBE",
  "state": "relaxed",
  "density_g_cm3": 12.03,
  "magnetic_moment_mub_per_atom": 0.000,
  "dos_ef_per_ev_cell": 2.94,
  "ef_mev_per_atom": 1189,
  "sg": "P4/mmm, No. 123",
  "cell": [[4.8226, 0.0000, 0.0000], [0.0000, 4.8226, 0.0000], [0.0000, 0.0000, 4.6990]],
  "species": ["Hf", "Hf", "Ta", "Ga", "W"],
  "fractional_positions": [[0.0000, 0.5000, 0.0000], [0.5000, 0.0000, 0.0000], [0.0000, 0.0000, 0.5000], [0.0000, 0.0000, 0.0000], [0.5000, 0.5000, 0.5000]]
}


Entry 10:
{
  "formula": "TbHf2Ga9",
  "functional": "PBE",
  "state": "relaxed",
  "density_g_cm3": 8.75,
  "magnetic_moment_mub_per_atom": 0.000,
  "dos_ef_per_ev_cell": 4.95,
  "ef_mev_per_atom": -423,
  "sg": "P4/mmm, No. 123",
  "cell": [[4.1799, 0.0000, 0.0000], [0.0000, 4.1799, 0.0000], [0.0000, 0.0000, 12.4195]],
  "species": ["Tb", "Hf", "Hf", "Ga", "Ga", "Ga", "Ga", "Ga", "Ga", "Ga", "Ga", "Ga"],
  "fractional_positions": [[0.0000, 0.0000, 0.0000], [0.0000, 0.0000, 0.3396], [0.0000, 0.0000, 0.6604], [0.0000, 0.5000, 0.1761], [0.0000, 0.5000, 0.5000], [0.0000, 0.5000, 0.8239], [0.5000, 0.0000, 0.1761], [0.5000, 0.0000, 0.5000], [0.5000, 0.0000, 0.8239], [0.5000, 0.5000, 0.0000], [0.5000, 0.5000, 0.3358], [0.5000, 0.5000, 0.6642]]
}


Entry 11:
{
  "formula": "Tb2HfGa",
  "functional": "PBE",
  "state": "relaxed",
  "density_g_cm3": 9.83,
  "magnetic_moment_mub_per_atom": 0.000,
  "dos_ef_per_ev_cell": 2.97,
  "ef_mev_per_atom": -147,
  "sg": "P4/mmm, No. 123",
  "cell": [[4.5644, 0.0000, 0.0000], [0.0000, 4.5644, 0.0000], [0.0000, 0.0000, 4.5919]],
  "species": ["Tb", "Tb", "Hf", "Ga"],
  "fractional_positions": [[0.0000, 0.5000, 0.0000], [0.5000, 0.0000, 0.0000], [0.0000, 0.0000, 0.5000], [0.5000, 0.5000, 0.5000]]
}


Entry 12:
{
  "formula": "TbHf2Ga",
  "functional": "PBE",
  "state": "relaxed",
  "density_g_cm3": 11.14,
  "magnetic_moment_mub_per_atom": 0.000,
  "dos_ef_per_ev_cell": 2.45,
  "ef_mev_per_atom": -139,
  "sg": "P4/mmm, No. 123",
  "cell": [[4.4348, 0.0000, 0.0000], [0.0000, 4.4348, 0.0000], [0.0000, 0.0000, 4.4383]],
  "species": ["Tb", "Hf", "Hf", "Ga"],
  "fractional_positions": [[0.0000, 0.0000, 0.0000], [0.0000, 0.5000, 0.5000], [0.5000, 0.0000, 0.5000], [0.5000, 0.5000, 0.0000]]
}


Entry 13:
{
  "formula": "TbHf2Ga",
  "functional": "PBE",
  "state": "relaxed",
  "density_g_cm3": 10.47,
  "magnetic_moment_mub_per_atom": 0.000,
  "dos_ef_per_ev_cell": 18.16,
  "ef_mev_per_atom": 203,
  "sg": "R-3m, No. 166",
  "cell": [[3.1265, 0.0000, 0.0000], [-1.5633, 2.7077, 0.0000], [0.0000, 0.0000, 32.9098]],
  "species": ["Tb", "Tb", "Tb", "Hf", "Hf", "Hf", "Hf", "Hf", "Hf", "Ga", "Ga", "Ga"],
  "fractional_positions": [[0.0000, 0.0000, 0.0000], [0.3333, 0.6667, 0.6667], [0.6667, 0.3333, 0.3333], [0.0000, 0.0000, 0.0965], [0.0000, 0.0000, 0.9035], [0.3333, 0.6667, 0.5702], [0.3333, 0.6667, 0.7631], [0.6667, 0.3333, 0.2369], [0.6667, 0.3333, 0.4298], [0.0000, 0.0000, 0.5000], [0.3333, 0.6667, 0.1667], [0.6667, 0.3333, 0.8333]]
}


Entry 14:
{
  "formula": "Tb2HfGa",
  "functional": "PBE",
  "state": "relaxed",
  "density_g_cm3": 9.38,
  "magnetic_moment_mub_per_atom": 0.000,
  "dos_ef_per_ev_cell": 2.75,
  "ef_mev_per_atom": -187,
  "sg": "P4/mmm, No. 123",
  "cell": [[3.4087, 0.0000, 0.0000], [0.0000, 3.4087, 0.0000], [0.0000, 0.0000, 8.6254]],
  "species": ["Tb", "Tb", "Hf", "Ga"],
  "fractional_positions": [[0.0000, 0.0000, 0.2295], [0.0000, 0.0000, 0.7705], [0.5000, 0.5000, 0.5000], [0.5000, 0.5000, 0.0000]]
}


Entry 15:
{
  "formula": "Tb2HfGa",
  "functional": "PBE",
  "state": "relaxed",
  "density_g_cm3": 8.96,
  "magnetic_moment_mub_per_atom": 0.000,
  "dos_ef_per_ev_cell": 16.61,
  "ef_mev_per_atom": 188,
  "sg": "R-3m, No. 166",
  "cell": [[3.2935, 0.0000, 0.0000], [-1.6468, 2.8523, 0.0000], [0.0000, 0.0000, 33.4964]],
  "species": ["Tb", "Tb", "Tb", "Tb", "Tb", "Tb", "Hf", "Hf", "Hf", "Ga", "Ga", "Ga"],
  "fractional_positions": [[0.0000, 0.0000, 0.0967], [0.0000, 0.0000, 0.9033], [0.3333, 0.6667, 0.5699], [0.3333, 0.6667, 0.7634], [0.6667, 0.3333, 0.2366], [0.6667, 0.3333, 0.4301], [0.0000, 0.0000, 0.0000], [0.3333, 0.6667, 0.6667], [0.6667, 0.3333, 0.3333], [0.0000, 0.0000, 0.5000], [0.3333, 0.6667, 0.1667], [0.6667, 0.3333, 0.8333]]
}


Entry 16:
{
  "formula": "TbHfGaTc",
  "functional": "PBE",
  "state": "relaxed",
  "density_g_cm3": 10.65,
  "magnetic_moment_mub_per_atom": 0.000,
  "dos_ef_per_ev_cell": 8.43,
  "ef_mev_per_atom": -274,
  "sg": "F-43m, No. 216",
  "cell": [[6.8035, 0.0000, 0.0000], [0.0000, 6.8035, 0.0000], [0.0000, 0.0000, 6.8035]],
  "species": ["Tb", "Tb", "Tb", "Tb", "Hf", "Hf", "Hf", "Hf", "Ga", "Ga", "Ga", "Ga", "Tc", "Tc", "Tc", "Tc"],
  "fractional_positions": [[0.0000, 0.0000, 0.0000], [0.0000, 0.5000, 0.5000], [0.5000, 0.0000, 0.5000], [0.5000, 0.5000, 0.0000], [0.0000, 0.0000, 0.5000], [0.0000, 0.5000, 0.0000], [0.5000, 0.0000, 0.0000], [0.5000, 0.5000, 0.5000], [0.2500, 0.2500, 0.7500], [0.2500, 0.7500, 0.2500], [0.7500, 0.2500, 0.2500], [0.7500, 0.7500, 0.7500], [0.2500, 0.2500, 0.2500], [0.2500, 0.7500, 0.7500], [0.7500, 0.2500, 0.7500], [0.7500, 0.7500, 0.2500]]
}


Entry 17:
{
  "formula": "HfGa2Tc2",
  "functional": "PBE",
  "state": "relaxed",
  "density_g_cm3": 9.59,
  "magnetic_moment_mub_per_atom": 0.000,
  "dos_ef_per_ev_cell": 9.59,
  "ef_mev_per_atom": 77,
  "sg": "I4/mmm, No. 139",
  "cell": [[4.2435, 0.0000, 0.0000], [0.0000, 4.2435, 0.0000], [0.0000, 0.0000, 9.8805]],
  "species": ["Hf", "Hf", "Ga", "Ga", "Ga", "Ga", "Tc", "Tc", "Tc", "Tc"],
  "fractional_positions": [[0.0000, 0.0000, 0.0000], [0.5000, 0.5000, 0.5000], [0.0000, 0.5000, 0.2500], [0.0000, 0.5000, 0.7500], [0.5000, 0.0000, 0.2500], [0.5000, 0.0000, 0.7500], [0.0000, 0.0000, 0.3868], [0.0000, 0.0000, 0.6132], [0.5000, 0.5000, 0.1132], [0.5000, 0.5000, 0.8868]]
}


Entry 18:
{
  "formula": "Hf2Ga4Tc",
  "functional": "PBE",
  "state": "relaxed",
  "density_g_cm3": 8.15,
  "magnetic_moment_mub_per_atom": 0.000,
  "dos_ef_per_ev_cell": 12.83,
  "ef_mev_per_atom": 209,
  "sg": "I4/mmm, No. 139",
  "cell": [[4.7137, 0.0000, 0.0000], [0.0000, 4.7137, 0.0000], [0.0000, 0.0000, 13.4536]],
  "species": ["Hf", "Hf", "Hf", "Hf", "Ga", "Ga", "Ga", "Ga", "Ga", "Ga", "Ga", "Ga", "Tc", "Tc"],
  "fractional_positions": [[0.0000, 0.0000, 0.1136], [0.0000, 0.0000, 0.8864], [0.5000, 0.5000, 0.3864], [0.5000, 0.5000, 0.6136], [0.0000, 0.0000, 0.3136], [0.0000, 0.0000, 0.6864], [0.0000, 0.5000, 0.0000], [0.0000, 0.5000, 0.5000], [0.5000, 0.0000, 0.0000], [0.5000, 0.0000, 0.5000], [0.5000, 0.5000, 0.1864], [0.5000, 0.5000, 0.8136], [0.0000, 0.0000, 0.5000], [0.5000, 0.5000, 0.0000]]
}


Entry 19:
{
  "formula": "Hf2Ga7Tc2",
  "functional": "PBE",
  "state": "relaxed",
  "density_g_cm3": 9.12,
  "magnetic_moment_mub_per_atom": 0.000,
  "dos_ef_per_ev_cell": 6.19,
  "ef_mev_per_atom": -182,
  "sg": "Imm2, No. 44",
  "cell": [[-1.5384, 8.6148, 3.5773], [1.5384, -8.6148, 3.5773], [1.5384, 8.6148, -3.5773]],
  "species": ["Hf", "Hf", "Ga", "Ga", "Ga", "Ga", "Ga", "Ga", "Ga", "Tc", "Tc"],
  "fractional_positions": [[0.2402, 0.0000, 0.2402], [0.7598, 0.0000, 0.7598], [0.0908, 0.7263, 0.3645], [0.1072, 0.1072, 0.0000], [0.3618, 0.7263, 0.6355], [0.4091, 0.5297, 0.8794], [0.6504, 0.5297, 0.1206], [0.7369, 0.3504, 0.3865], [0.9639, 0.3504, 0.6135], [0.4136, 0.9136, 0.5000], [0.7417, 0.7417, 0.0000]]
}


Entry 20:
{
  "formula": "HfGa3Tc2",
  "functional": "PBE",
  "state": "relaxed",
  "density_g_cm3": 9.99,
  "magnetic_moment_mub_per_atom": 0.000,
  "dos_ef_per_ev_cell": 12.98,
  "ef_mev_per_atom": 3,
  "sg": "Cmcm, No. 63",
  "cell": [[3.9841, -4.7298, 0.0000], [3.9841, 4.7298, 0.0000], [0.0000, 0.0000, 5.1506]],
  "species": ["Hf", "Hf", "Ga", "Ga", "Ga", "Ga", "Ga", "Ga", "Tc", "Tc", "Tc", "Tc"],
  "fractional_positions": [[0.0556, 0.9444, 0.7500], [0.9444, 0.0556, 0.2500], [0.3025, 0.3025, 0.0000], [0.3025, 0.3025, 0.5000], [0.3273, 0.6727, 0.7500], [0.6727, 0.3273, 0.2500], [0.6975, 0.6975, 0.0000], [0.6975, 0.6975, 0.5000], [0.0512, 0.6051, 0.2500], [0.3949, 0.9488, 0.2500], [0.6051, 0.0512, 0.7500], [0.9488, 0.3949, 0.7500]]
}